<a>
DFT (PBE-GGA) results for an optimized crystal structure of Cr5Cd.

Properties
**Fermi-level density of states**: 2.08 states/eV per cell

Lattice parameters (Å, degrees): 4.804 4.804 4.804 60.00 60.00 60.00
Atoms (fractional coordinates):
Cr: 0.877 0.374 0.374
Cr: 0.750 0.750 0.750
Cr: 0.374 0.877 0.374
Cr: 0.374 0.374 0.374
Cr: 0.374 0.374 0.877
Cd: 0.000 0.000 0.000

=====

<b>
DFT (PBE-GGA) results for an optimized crystal structure of Cr5Cd.

Properties
**Fermi-level density of states**: 5.38 states/eV per cell

Lattice parameters (Å, degrees): 4.935 4.935 3.926 90.00 90.00 120.00
Atoms (fractional coordinates):
Cr: 0.000 0.500 0.500
Cr: 0.333 0.667 0.000
Cr: 0.500 0.000 0.500
Cr: 0.500 0.500 0.500
Cr: 0.667 0.333 0.000
Cd: 0.000 0.000 0.000

=====

Most stable: <a>

=====

<a>
DFT (PBE-GGA) results for an optimized crystal structure of Cr5Cd.

Properties
**Fermi-level density of states**: 4.93 states/eV per cell

Lattice parameters (Å, degrees): 4.848 4.848 6.137 72.53 72.53 34.78
Atoms (fractional coordinates):
Cr: 0.679 0.679 0.195
Cr: 0.325 0.325 0.355
Cr: 0.000 0.000 0.500
Cr: 0.675 0.675 0.645
Cr: 0.321 0.321 0.805
Cd: 0.000 0.000 0.000

=====

<b>
DFT (PBE-GGA) results for an optimized crystal structure of Cr5Cd.

Properties
**Fermi-level density of states**: 5.44 states/eV per cell

Lattice parameters (Å, degrees): 6.346 6.346 4.329 90.00 90.00 153.19
Each line ends with the local moment (μB).
Atoms (fractional coordinates):
Cr: 0.166 0.834 0.500  -0.34
Cr: 0.317 0.683 0.000  0.02
Cr: 0.500 0.500 0.500  1.14
Cr: 0.683 0.317 0.000  0.02
Cr: 0.834 0.166 0.500  -0.34
Cd: 0.000 0.000 0.000  0.00

=====

Most stable: <a>

=====

<a>
DFT (PBE-GGA) results for an optimized crystal structure of Cr4Cd.

Properties
**Fermi-level density of states**: 3.76 states/eV per cell

Lattice parameters (Å, degrees): 4.494 4.494 4.494 102.83 102.83 123.76
Atoms (fractional coordinates):
Cr: 0.803 0.565 0.368
Cr: 0.197 0.435 0.632
Cr: 0.565 0.197 0.762
Cr: 0.435 0.803 0.238
Cd: 0.000 0.000 0.000

=====

<b>
DFT (PBE-GGA) results for an optimized crystal structure of Cr4Cd.

Properties
**Fermi-level density of states**: 3.58 states/eV per cell

Lattice parameters (Å, degrees): 5.094 5.094 5.094 90.00 90.00 90.00
Each line ends with the local moment (μB).
Atoms (fractional coordinates):
Cr: 0.000 0.000 0.000  4.11
Cr: 0.500 0.000 0.500  3.90
Cr: 0.000 0.500 0.500  3.90
Cr: 0.500 0.500 0.000  3.90
Cd: 0.500 0.500 0.500  0.08

=====

<c>
DFT (PBE-GGA) results for an optimized crystal structure of Cr4Cd.

Properties
**Fermi-level density of states**: 5.62 states/eV per cell

Lattice parameters (Å, degrees): 5.688 5.688 5.688 140.66 140.66 56.85
Each line ends with the local moment (μB).
Atoms (fractional coordinates):
Cr: 0.250 0.750 0.500  -0.14
Cr: 0.621 0.621 0.000  0.47
Cr: 0.379 0.379 0.000  0.47
Cr: 0.750 0.250 0.500  -0.14
Cd: 0.000 0.000 0.000  0.01

=====

Most stable: <a>

=====

<a>
DFT (PBE-GGA) results for an optimized crystal structure of CrCd2Cu.

Properties
**Fermi-level density of states**: 2.10 states/eV per cell

Lattice parameters (Å, degrees): 4.882 4.882 4.882 128.07 128.02 76.55
Each line ends with the local moment (μB).
Atoms (fractional coordinates):
Cd: 0.000 0.000 0.000  -0.01
Cd: 0.500 0.500 0.000  -0.01
Cr: 0.750 0.250 0.500  3.61
Cu: 0.250 0.750 0.500  0.03

=====

<b>
DFT (PBE-GGA) results for an optimized crystal structure of CrCd2Cu.

Properties
**Fermi-level density of states**: 2.06 states/eV per cell

Lattice parameters (Å, degrees): 3.208 3.211 6.848 90.00 90.00 90.00
Each line ends with the local moment (μB).
Atoms (fractional coordinates):
Cd: 0.000 0.000 0.965  -0.01
Cd: 0.500 0.500 0.274  -0.01
Cr: 0.000 0.000 0.535  3.40
Cu: 0.500 0.500 0.727  0.10

=====

<c>
DFT (PBE-GGA) results for an optimized crystal structure of CrCd2Cu.

Properties
**Fermi-level density of states**: 2.45 states/eV per cell

Lattice parameters (Å, degrees): 4.632 4.632 4.632 60.00 60.00 60.00
Each line ends with the local moment (μB).
Atoms (fractional coordinates):
Cd: 0.000 0.000 0.000  -0.04
Cd: 0.250 0.250 0.250  0.00
Cr: 0.500 0.500 0.500  3.63
Cu: 0.750 0.750 0.750  0.04

=====

<d>
DFT (PBE-GGA) results for an optimized crystal structure of CrCd2Cu.

Properties
**Fermi-level density of states**: 2.72 states/eV per cell

Lattice parameters (Å, degrees): 9.367 9.367 9.367 18.42 18.42 18.42
Each line ends with the local moment (μB).
Atoms (fractional coordinates):
Cd: 0.003 0.003 0.003  0.00
Cd: 0.497 0.497 0.497  0.00
Cr: 0.250 0.250 0.250  3.44
Cu: 0.750 0.750 0.750  0.00

=====

Most stable: <b>